Entry 1:
A relaxed LaGdBeGa crystal. Source: Alexandria via LeMat-Bulk, functional PBE-GGA.

Results
- Theoretical density: 6.518 g/cm³
- SG: F-43m
- Total moment: 7.7 μB per cell
- Energy: -6.616 eV/atom

Cell lengths 5.1308, 5.1308, 5.1308 Å; angles 60.00, 60.00, 60.00 degrees
Fractional positions:
La 0.0000 0.0000 0.0000
Gd 0.5000 0.5000 0.5000
Be 0.7500 0.7500 0.7500
Ga 0.2500 0.2500 0.2500

=====

Entry 2:
A relaxed GdLuBeGa crystal. Source: Alexandria via LeMat-Bulk, functional PBE-GGA.

Results
- Theoretical density: 8.121 g/cm³
- SG: F-43m
- Total moment: 7.3 μB per cell
- Energy: -6.573 eV/atom

Cell lengths 4.9163, 4.9163, 4.9163 Å; angles 60.00, 60.00, 60.00 degrees
Fractional positions:
Gd 0.0000 0.0000 0.0000
Lu 0.5000 0.5000 0.5000
Be 0.7500 0.7500 0.7500
Ga 0.2500 0.2500 0.2500

=====

Entry 3:
A relaxed NdGdBeGa crystal. Source: Alexandria via LeMat-Bulk, functional PBE-GGA.

Results
- Theoretical density: 6.844 g/cm³
- SG: F-43m
- Total moment: 7.6 μB per cell
- Energy: -6.585 eV/atom

Cell lengths 5.0718, 5.0718, 5.0718 Å; angles 60.00, 60.00, 60.00 degrees
Fractional positions:
Nd 0.0000 0.0000 0.0000
Gd 0.5000 0.5000 0.5000
Be 0.2500 0.2500 0.2500
Ga 0.7500 0.7500 0.7500

=====

Number 1: DOS(E_F) 3.87 states/eV/cell. Number 2: DOS(E_F) 3.77 states/eV/cell. Number 3: DOS(E_F) 3.97 states/eV/cell.